DFT (PBE-GGA) results for a relaxed structure of Na2InPtO4.

It has space group P2/m (No. 10), with a = 5.854 Å, b = 3.196 Å, c = 5.889 Å, α = 90.00°, β = 112.26° and γ = 90.00°. The distinct sites, in fractional coordinates, are Na at (0.000, 0.000, 0.000), Na at (0.500, 0.500, 0.000), In at (0.000, 0.500, 0.500), Pt at (0.500, 0.000, 0.500), O at (0.219, 0.000, 0.735) and O at (0.279, 0.500, 0.309).

The calculation puts the uncorrected energy at -40.76 eV/f.u. Its density is 6.84 g/cm³.